--- A ---
The following is a PBE calculation of an optimized crystal structure of PrHo2Al6, from Alexandria.

Cell and atoms, written as POSCAR:
```
PrHo2Al6
1.0
-3.459 -2.746 0.040
0.319 -4.054 -6.818
2.969 -7.305 -0.917
Pr Ho Al
1 2 6
Direct
0.500 0.500 0.500
0.376 0.124 0.124
0.624 0.876 0.876
0.186 0.510 0.118
0.814 0.490 0.882
0.814 0.882 0.490
0.000 0.182 0.818
0.000 0.818 0.182
0.186 0.118 0.510
```

Properties
Fermi-level density of states (states/eV/atom): 0.542
Size of the total moment (μB per formula unit): 0.000

--- B ---
The following is a PBE calculation of an optimized crystal structure of PrHo2Al6, from Alexandria.

Cell and atoms, written as POSCAR:
```
PrHo2Al6
1.0
-2.547 0.367 2.438
-4.573 3.711 -5.337
-0.403 -7.900 0.769
Pr Ho Al
1 2 6
Direct
0.000 0.000 0.000
0.000 0.333 0.667
0.000 0.667 0.333
0.500 0.336 0.336
0.500 0.664 0.664
0.500 0.000 0.664
0.500 0.664 0.000
0.500 0.336 0.000
0.500 0.000 0.336
```

Properties
Fermi-level density of states (states/eV/atom): 0.493
Size of the total moment (μB per formula unit): 0.000

Of them, the most stable is B and the least stable is A.

--- A ---
The following is a PBE calculation of an optimized crystal structure of Pr2HoAl, from Alexandria.

Cell and atoms, written as POSCAR:
```
Pr2HoAl
1.0
-2.114 -4.997 0.809
0.476 -3.842 -3.887
3.326 -4.293 0.779
Pr Ho Al
2 1 1
Direct
0.250 0.250 0.250
0.750 0.750 0.750
0.500 0.500 0.500
0.000 0.000 0.000
```

Properties
Fermi-level density of states (states/eV/atom): 1.613
Size of the total moment (μB per formula unit): 0.000

--- B ---
The following is a PBE calculation of an optimized crystal structure of Pr2HoAl, from Alexandria.

Cell and atoms, written as POSCAR:
```
Pr2HoAl
1.0
-0.195 -0.105 3.686
-3.245 -0.587 1.661
0.663 -10.804 1.576
Pr Ho Al
2 1 1
Direct
0.074 0.074 0.779
0.260 0.260 0.220
0.500 0.500 0.500
0.666 0.666 0.001
```

Properties
Fermi-level density of states (states/eV/atom): 1.333
Size of the total moment (μB per formula unit): 0.660

Of them, the most stable is A and the least stable is B.